(1)
A geometry-optimized BaNa2TlAu structure. Source: Alexandria, functional GGA-PBE.

Unit cell a=5.596 b=5.596 c=6.278 alpha=90.00 beta=90.00 gamma=90.00
Element x y z (fractional)
Ba 0.000 0.000 0.000
Na 0.000 0.500 0.500
Na 0.500 0.000 0.500
Tl 0.500 0.500 0.000
Au 0.000 0.000 0.500

Output
Excess energy over the best structure of this formula in the dataset = 0.00 eV per formula unit
Energy of formation from the pure elements = -173 meV/atom

=====

(2)
A geometry-optimized BaNa2TlAu structure. Source: Alexandria, functional GGA-PBE.

Unit cell a=5.563 b=5.563 c=5.726 alpha=90.00 beta=90.00 gamma=90.00
Element x y z (fractional)
Ba 0.000 0.000 0.000
Na 0.000 0.500 0.500
Na 0.500 0.000 0.500
Tl 0.500 0.500 0.000
Au 0.500 0.500 0.500

Output
Excess energy over the best structure of this formula in the dataset = 0.17 eV per formula unit
Energy of formation from the pure elements = -139 meV/atom

=====

(3)
A geometry-optimized Ba5Na2TlAu2 structure. Source: Alexandria, functional GGA-PBE.

Unit cell a=13.980 b=13.980 c=4.378 alpha=90.00 beta=90.00 gamma=90.00
Element x y z (fractional)
Ba 0.000 0.500 0.000
Ba 0.065 0.202 0.000
Ba 0.202 0.935 0.000
Ba 0.298 0.435 0.000
Ba 0.435 0.702 0.000
Ba 0.500 0.000 0.000
Ba 0.565 0.298 0.000
Ba 0.702 0.565 0.000
Ba 0.798 0.065 0.000
Ba 0.935 0.798 0.000
Na 0.182 0.682 0.500
Na 0.318 0.182 0.500
Na 0.682 0.818 0.500
Na 0.818 0.318 0.500
Tl 0.000 0.000 0.500
Tl 0.500 0.500 0.500
Au 0.130 0.370 0.500
Au 0.370 0.870 0.500
Au 0.630 0.130 0.500
Au 0.870 0.630 0.500

Output
Energy of formation from the pure elements = -392 meV/atom

=====

(4)
A geometry-optimized BaNaTlAu2 structure. Source: Alexandria, functional GGA-PBE.

Unit cell a=5.395 b=5.395 c=5.373 alpha=90.00 beta=90.00 gamma=90.00
Element x y z (fractional)
Ba 0.000 0.000 0.000
Na 0.500 0.500 0.500
Tl 0.500 0.500 0.000
Au 0.000 0.500 0.500
Au 0.500 0.000 0.500

Output
Energy of formation from the pure elements = -100 meV/atom

=====

(5)
A geometry-optimized BaNaZn2Au structure. Source: Alexandria, functional GGA-PBE.

Unit cell a=5.053 b=5.053 c=5.463 alpha=90.00 beta=90.00 gamma=90.00
Element x y z (fractional)
Ba 0.000 0.000 0.000
Na 0.500 0.500 0.000
Zn 0.000 0.500 0.500
Zn 0.500 0.000 0.500
Au 0.500 0.500 0.500

Output
Energy of formation from the pure elements = -168 meV/atom

=====

(6)
A geometry-optimized BaNaZn2Au2 structure. Source: Alexandria, functional GGA-PBE.

Unit cell a=4.712 b=4.712 c=7.472 alpha=90.00 beta=90.00 gamma=120.00
Element x y z (fractional)
Ba 0.000 0.000 0.000
Na 0.000 0.000 0.500
Zn 0.333 0.667 0.324
Zn 0.667 0.333 0.676
Au 0.333 0.667 0.701
Au 0.667 0.333 0.299

Output
Energy of formation from the pure elements = -436 meV/atom

=====

(7)
A geometry-optimized BaNaZnAu2 structure. Source: Alexandria, functional GGA-PBE.

Unit cell a=5.144 b=5.144 c=5.119 alpha=90.00 beta=90.00 gamma=90.00
Element x y z (fractional)
Ba 0.000 0.000 0.000
Na 0.500 0.500 0.000
Zn 0.500 0.500 0.500
Au 0.000 0.500 0.500
Au 0.500 0.000 0.500

Output
Excess energy over the best structure of this formula in the dataset = 0.82 eV per formula unit
Energy of formation from the pure elements = -292 meV/atom

=====

(8)
A geometry-optimized BaNaZnAu2 structure. Source: Alexandria, functional GGA-PBE.

Unit cell a=7.153 b=7.153 c=7.153 alpha=143.51 beta=143.51 gamma=52.55
Element x y z (fractional)
Ba 0.000 0.000 0.000
Na 0.250 0.750 0.500
Zn 0.750 0.250 0.500
Au 0.388 0.388 0.000
Au 0.612 0.612 0.000

Output
Excess energy over the best structure of this formula in the dataset = 0.00 eV per formula unit
Energy of formation from the pure elements = -455 meV/atom

=====

Q: energy of formation from the pure elements of number 8 (BaNaZnAu2)?
A: -455 meV/atom